The following is a DFT calculation (GGA-PBE) of a geometry-optimized Ta6Ni16Ge7 structure. Values from VASP.

Quantum ESPRESSO input file:
```
&SYSTEM
  ibrav = 0, nat = 29, ntyp = 3
/
ATOMIC_SPECIES
Ta 180.95 Ta.upf
Ni 58.69 Ni.upf
Ge 72.64 Ge.upf
ATOMIC_POSITIONS crystal
Ta 0.200 0.200 0.800
Ta 0.200 0.800 0.200
Ta 0.200 0.800 0.800
Ta 0.800 0.200 0.200
Ta 0.800 0.200 0.800
Ta 0.800 0.800 0.200
Ni 0.149 0.617 0.617
Ni 0.166 0.166 0.166
Ni 0.166 0.166 0.502
Ni 0.166 0.502 0.166
Ni 0.383 0.383 0.383
Ni 0.383 0.383 0.851
Ni 0.383 0.851 0.383
Ni 0.498 0.834 0.834
Ni 0.502 0.166 0.166
Ni 0.617 0.149 0.617
Ni 0.617 0.617 0.149
Ni 0.617 0.617 0.617
Ni 0.834 0.498 0.834
Ni 0.834 0.834 0.498
Ni 0.834 0.834 0.834
Ni 0.851 0.383 0.383
Ge 0.000 0.000 0.500
Ge 0.000 0.500 0.000
Ge 0.000 0.500 0.500
Ge 0.500 0.000 0.000
Ge 0.500 0.000 0.500
Ge 0.500 0.500 0.000
Ge 0.500 0.500 0.500
CELL_PARAMETERS angstrom
0.000 5.724 5.724
5.724 0.000 5.724
5.724 5.724 0.000
```

Computed properties:
total moment = 0.0 μB per cell
calculated total energy = -203.559 eV/cell

The following is a DFT calculation (GGA-PBE) of a geometry-optimized HoAlBiTe3 structure. Values from VASP.

Quantum ESPRESSO input file:
```
&SYSTEM
  ibrav = 0, nat = 12, ntyp = 4
/
ATOMIC_SPECIES
Ho 164.93 Ho.upf
Al 26.98 Al.upf
Bi 208.98 Bi.upf
Te 127.60 Te.upf
ATOMIC_POSITIONS crystal
Ho 0.000 0.000 0.000
Ho 0.000 0.000 0.500
Al 0.455 0.545 0.750
Al 0.545 0.455 0.250
Bi 0.251 0.749 0.250
Bi 0.749 0.251 0.750
Te 0.087 0.913 0.750
Te 0.357 0.643 0.537
Te 0.357 0.643 0.963
Te 0.643 0.357 0.037
Te 0.643 0.357 0.463
Te 0.913 0.087 0.250
CELL_PARAMETERS angstrom
2.123 -7.598 0.000
2.123 7.598 0.000
0.000 0.000 11.057
```

Computed properties:
total moment = 0.0 μB per cell
calculated total energy = -48.894 eV/cell

The following is a DFT calculation (GGA-PBE) of a geometry-optimized BaErSi structure. Values from VASP.

Quantum ESPRESSO input file:
```
&SYSTEM
  ibrav = 0, nat = 3, ntyp = 3
/
ATOMIC_SPECIES
Ba 137.33 Ba.upf
Er 167.26 Er.upf
Si 28.09 Si.upf
ATOMIC_POSITIONS crystal
Ba 0.000 0.000 0.000
Er 0.500 0.500 0.500
Si 0.250 0.250 0.250
CELL_PARAMETERS angstrom
0.000 3.688 3.688
3.688 0.000 3.688
3.688 3.688 0.000
```

Computed properties:
total moment = 0.0 μB per cell
calculated total energy = -12.232 eV/cell

The following is a DFT calculation (GGA-PBE) of a geometry-optimized CoCuBiB structure. Values from VASP.

Quantum ESPRESSO input file:
```
&SYSTEM
  ibrav = 0, nat = 4, ntyp = 4
/
ATOMIC_SPECIES
Co 58.93 Co.upf
Cu 63.55 Cu.upf
Bi 208.98 Bi.upf
B 10.81 B.upf
ATOMIC_POSITIONS crystal
Co 0.000 0.000 0.000
Cu 0.250 0.250 0.250
Bi 0.500 0.500 0.500
B 0.750 0.750 0.750
CELL_PARAMETERS angstrom
0.000 3.069 3.069
3.069 0.000 3.069
3.069 3.069 0.000
```

Computed properties:
total moment = 0.4 μB per cell
calculated total energy = -17.120 eV/cell

> Look up the calculated total energy of the first one.

-203.559 eV/cell